[1]
A relaxed structure of BaFe2Co. Source: Alexandria, functional PBE.

Cell: 5.7460 5.7460 5.7460 Å, 149.36 125.63 63.71°
Each line ends with the local moment (μB).
Fractional coordinates of all 4 atoms:
1 Ba 0.7500 0.2500 0.5000  -0.11
2 Co 0.2500 0.7500 0.5000  1.45
3 Fe 0.0547 0.0547 0.0000  2.92
4 Fe 0.4453 0.4453 0.0000  2.92

Total energy, eV per atom: -5.644
Formation energy from the elements, eV per atom: 0.844
Offset from the most stable computed form, eV/f.u.: 2.07
Symmetry: Immm, No. 71
Volume, Å³ per cell: 77.8

---

[2]
A relaxed structure of BeTe2Pt. Source: Alexandria, functional PBE.

Cell: 5.8711 5.8711 7.1034 Å, 65.59 65.59 90.00°
Fractional coordinates of all 8 atoms:
1 Be 0.5000 0.5000 0.0000
2 Be 0.2500 0.7500 0.5000
3 Te 0.5996 0.1250 0.2500
4 Te 0.1504 0.6250 0.2500
5 Te 0.3750 0.4004 0.7500
6 Te 0.8750 0.8496 0.7500
7 Pt 0.0000 0.0000 0.0000
8 Pt 0.7500 0.2500 0.5000

Total energy, eV per atom: -4.154
Energy relative to the elements, uncorrected, eV/f.u.: -0.567
Symmetry: I-42d, No. 122
Volume, Å³ per cell: 198.7

---

[3]
A relaxed structure of PmDyEr2. Source: Alexandria, functional PBE.

Cell: 3.5516 3.5516 10.0395 Å, 90.00 90.00 90.00°
Fractional coordinates of all 4 atoms:
1 Dy 0.5000 0.5000 0.5000
2 Pm 0.5000 0.5000 0.0000
3 Er 0.0000 0.0000 0.7464
4 Er 0.0000 0.0000 0.2536

Total energy, eV per atom: -4.597
Formation energy from the elements, eV per atom: 0.022
Offset from the most stable computed form, eV/f.u.: 0.02
Symmetry: P4/mmm, No. 123
Volume, Å³ per cell: 126.6